A plane-wave DFT calculation with PBE was carried out for a relaxed structure of AlGaCu5.

Computed properties:
Its density of states at the Fermi level is 0.4529 states/eV per atom. The energy above the most stable polymorph in this dataset comes out at 0.535 eV per atom. The value obtained for the formation energy is 447 meV/atom.

a = 6.5741 Å, b = 8.4141 Å, c = 4.6479 Å
α = 90.00°, β = 90.00°, γ = 90.00°
Closest atoms and distances in Å follow each position.
Space group Imm2 (No. 44)
Symmetry-distinct sites (fractional):
Al  0.0000  0.0000  0.0000 [2 per cell]  6 Cu 2.58-2.64
Ga  0.0000  0.5000  0.7048 [2 per cell]  4 Cu 2.29-2.53
Cu  0.0000  0.2382  0.3708 [4 per cell]  3 Cu 2.32-2.41
Cu  0.0000  0.5000  0.2114 [2 per cell]  2 Ga 2.29-2.35, 4 Cu 2.32
Cu  0.1791  0.0000  0.5052 [4 per cell]  4 Cu 2.32-2.41, 1 Ga 2.53, 1 Al 2.58